VASP calculation (PBE-GGA) on a relaxed DyAlAgPt crystal.

Values from the calculation:
Volume (A^3/atom): 18.99
Formation enthalpy at 0 K (meV/atom): -683

Lattice parameters (Å, degrees): 6.723 6.723 6.723 90.00 90.00 90.00
Space group F-43m (No. 216)
Asymmetric unit:
1 Dy 0.000 0.000 0.000
2 Al 0.000 0.000 0.500
3 Ag 0.250 0.250 0.250
4 Pt 0.250 0.250 0.750


VASP calculation (PBE-GGA) on a relaxed DyAlAgRh crystal.

Values from the calculation:
Volume (A^3/atom): 18.42
Formation enthalpy at 0 K (meV/atom): -512

Lattice parameters (Å, degrees): 6.655 6.655 6.655 90.00 90.00 90.00
Space group F-43m (No. 216)
Asymmetric unit:
1 Dy 0.000 0.000 0.000
2 Al 0.000 0.000 0.500
3 Ag 0.250 0.250 0.750
4 Rh 0.250 0.250 0.250


> What is the formula in the first record?

DyAlAgPt